Record 1
LiZrNbFe (PBE-GGA, relaxed); excess energy over the best structure of this formula in the dataset = 0.0 meV per atom; crystal system = cubic
1.0
6.277 0.000 0.000
0.000 6.277 0.000
0.000 0.000 6.277
Li Zr Nb Fe
4 4 4 4
direct
0.000 0.000 0.000
0.000 0.500 0.500
0.500 0.000 0.500
0.500 0.500 0.000
0.250 0.250 0.750
0.250 0.750 0.250
0.750 0.250 0.250
0.750 0.750 0.750
0.250 0.250 0.250
0.250 0.750 0.750
0.750 0.250 0.750
0.750 0.750 0.250
0.000 0.000 0.500
0.000 0.500 0.000
0.500 0.000 0.000
0.500 0.500 0.500


Record 2
LiNdFeS3 (PBE-GGA, relaxed); crystal system = orthorhombic
1.0
1.961 -5.897 0.000
1.961 5.897 0.000
0.000 0.000 10.953
Li Nd Fe S
2 2 2 6
direct
0.230 0.770 0.750
0.770 0.230 0.250
0.000 0.000 0.000
0.000 0.000 0.500
0.478 0.522 0.250
0.522 0.478 0.750
0.086 0.914 0.250
0.353 0.647 0.092
0.353 0.647 0.408
0.647 0.353 0.592
0.647 0.353 0.908
0.914 0.086 0.750


Record 3
LiNdFeTe3 (PBE-GGA, relaxed); crystal system = orthorhombic
1.0
2.123 -7.025 0.000
2.123 7.025 0.000
0.000 0.000 11.677
Li Nd Fe Te
2 2 2 6
direct
0.210 0.790 0.750
0.790 0.210 0.250
0.000 0.000 0.000
0.000 0.000 0.500
0.474 0.526 0.250
0.526 0.474 0.750
0.090 0.910 0.250
0.350 0.650 0.082
0.350 0.650 0.418
0.650 0.350 0.582
0.650 0.350 0.918
0.910 0.090 0.750


Record 4
RbLiFeOs (PBE-GGA, relaxed); excess energy over the best structure of this formula in the dataset = 0.0 meV per atom; crystal system = cubic
1.0
6.640 0.000 0.000
0.000 6.640 0.000
0.000 0.000 6.640
Rb Li Fe Os
4 4 4 4
direct
0.000 0.000 0.000
0.000 0.500 0.500
0.500 0.000 0.500
0.500 0.500 0.000
0.250 0.250 0.750
0.250 0.750 0.250
0.750 0.250 0.250
0.750 0.750 0.750
0.250 0.250 0.250
0.250 0.750 0.750
0.750 0.250 0.750
0.750 0.750 0.250
0.000 0.000 0.500
0.000 0.500 0.000
0.500 0.000 0.000
0.500 0.500 0.500


Record 5
RbLiFeOs (PBE-GGA, relaxed); excess energy over the best structure of this formula in the dataset = 13.0 meV per atom; crystal system = cubic
1.0
6.631 0.000 0.000
0.000 6.631 0.000
0.000 0.000 6.631
Rb Li Fe Os
4 4 4 4
direct
0.000 0.000 0.000
0.000 0.500 0.500
0.500 0.000 0.500
0.500 0.500 0.000
0.250 0.250 0.750
0.250 0.750 0.250
0.750 0.250 0.250
0.750 0.750 0.750
0.000 0.000 0.500
0.000 0.500 0.000
0.500 0.000 0.000
0.500 0.500 0.500
0.250 0.250 0.250
0.250 0.750 0.750
0.750 0.250 0.750
0.750 0.750 0.250


Record 6
RbLiFeOs (PBE-GGA, relaxed); excess energy over the best structure of this formula in the dataset = 487.5 meV per atom; crystal system = cubic
1.0
6.744 0.000 0.000
0.000 6.744 0.000
0.000 0.000 6.744
Rb Li Fe Os
4 4 4 4
direct
0.000 0.000 0.000
0.000 0.500 0.500
0.500 0.000 0.500
0.500 0.500 0.000
0.000 0.000 0.500
0.000 0.500 0.000
0.500 0.000 0.000
0.500 0.500 0.500
0.250 0.250 0.750
0.250 0.750 0.250
0.750 0.250 0.250
0.750 0.750 0.750
0.250 0.250 0.250
0.250 0.750 0.750
0.750 0.250 0.750
0.750 0.750 0.250


Record 7
LiFeSbOs (PBE-GGA, relaxed); excess energy over the best structure of this formula in the dataset = 0.0 meV per atom; crystal system = cubic
1.0
6.092 0.000 0.000
0.000 6.092 0.000
0.000 0.000 6.092
Li Fe Sb Os
4 4 4 4
direct
0.000 0.000 0.000
0.000 0.500 0.500
0.500 0.000 0.500
0.500 0.500 0.000
0.250 0.250 0.750
0.250 0.750 0.250
0.750 0.250 0.250
0.750 0.750 0.750
0.000 0.000 0.500
0.000 0.500 0.000
0.500 0.000 0.000
0.500 0.500 0.500
0.250 0.250 0.250
0.250 0.750 0.750
0.750 0.250 0.750
0.750 0.750 0.250


Record 8
LiTlFeOs (PBE-GGA, relaxed); excess energy over the best structure of this formula in the dataset = 0.0 meV per atom; crystal system = cubic
1.0
6.176 0.000 0.000
0.000 6.176 0.000
0.000 0.000 6.176
Li Tl Fe Os
4 4 4 4
direct
0.000 0.000 0.000
0.000 0.500 0.500
0.500 0.000 0.500
0.500 0.500 0.000
0.250 0.250 0.250
0.250 0.750 0.750
0.750 0.250 0.750
0.750 0.750 0.250
0.000 0.000 0.500
0.000 0.500 0.000
0.500 0.000 0.000
0.500 0.500 0.500
0.250 0.250 0.750
0.250 0.750 0.250
0.750 0.250 0.250
0.750 0.750 0.750


Record 9
LiZnFeOs (PBE-GGA, relaxed); excess energy over the best structure of this formula in the dataset = 264.6 meV per atom; crystal system = cubic
1.0
5.901 0.000 0.000
0.000 5.901 0.000
0.000 0.000 5.901
Li Zn Fe Os
4 4 4 4
direct
0.000 0.000 0.000
0.000 0.500 0.500
0.500 0.000 0.500
0.500 0.500 0.000
0.000 0.000 0.500
0.000 0.500 0.000
0.500 0.000 0.000
0.500 0.500 0.500
0.250 0.250 0.750
0.250 0.750 0.250
0.750 0.250 0.250
0.750 0.750 0.750
0.250 0.250 0.250
0.250 0.750 0.750
0.750 0.250 0.750
0.750 0.750 0.250


Record 10
LiZnFeOs (PBE-GGA, relaxed); excess energy over the best structure of this formula in the dataset = 0.0 meV per atom; crystal system = cubic
1.0
5.759 0.000 0.000
0.000 5.759 0.000
0.000 0.000 5.759
Li Zn Fe Os
4 4 4 4
direct
0.000 0.000 0.000
0.000 0.500 0.500
0.500 0.000 0.500
0.500 0.500 0.000
0.250 0.250 0.250
0.250 0.750 0.750
0.750 0.250 0.750
0.750 0.750 0.250
0.000 0.000 0.500
0.000 0.500 0.000
0.500 0.000 0.000
0.500 0.500 0.500
0.250 0.250 0.750
0.250 0.750 0.250
0.750 0.250 0.250
0.750 0.750 0.750


Record 11
RbLiFe2P2 (PBE-GGA, relaxed); crystal system = tetragonal
1.0
3.740 0.000 0.000
0.000 3.740 0.000
0.000 0.000 8.162
Rb Li Fe P
1 1 2 2
direct
0.000 0.000 0.000
0.500 0.500 0.614
0.000 0.500 0.391
0.500 0.000 0.391
0.000 0.000 0.538
0.500 0.500 0.249


Record 12
SrLiFeP2 (PBE-GGA, relaxed); crystal system = tetragonal
1.0
3.917 0.000 0.000
0.000 3.917 0.000
0.000 0.000 11.250
Sr Li Fe P
2 2 2 4
direct
0.000 0.000 0.000
0.500 0.500 0.500
0.000 0.500 0.750
0.500 0.000 0.250
0.000 0.500 0.250
0.500 0.000 0.750
0.000 0.000 0.355
0.000 0.000 0.645
0.500 0.500 0.145
0.500 0.500 0.855


Number 1: calculated total energy -7.11 eV per atom. Number 2: calculated total energy -5.73 eV per atom. Number 3: calculated total energy -4.81 eV per atom. Number 4: calculated total energy -4.23 eV per atom. Number 5: calculated total energy -4.22 eV per atom. Number 6: calculated total energy -3.74 eV per atom. Number 7: calculated total energy -6.17 eV per atom. Number 8: calculated total energy -5.49 eV per atom. Number 9: calculated total energy -5.27 eV per atom. Number 10: calculated total energy -5.54 eV per atom. Number 11: calculated total energy -5.55 eV per atom. Number 12: calculated total energy -5.20 eV per atom.